This record from Alexandria describes Sr2Ge4Ir3Pt after structural relaxation. The functional is PBE.

a b c (Å): 4.3075 4.3075 10.4731
angles (deg): 90.00 90.00 90.00
Fractional positions:
1 Sr 0.0000 0.5000 0.2459
2 Sr 0.5000 0.0000 0.7541
3 Ge 0.0000 0.0000 0.0000
4 Ge 0.0000 0.5000 0.6335
5 Ge 0.5000 0.0000 0.3665
6 Ge 0.5000 0.5000 0.0000
7 Ir 0.0000 0.5000 0.8758
8 Ir 0.5000 0.0000 0.1242
9 Ir 0.5000 0.5000 0.5000
10 Pt 0.0000 0.0000 0.5000

## Properties
Total magnetic moment, μB per formula unit: 0.00
Electronic total energy, eV/atom: -6.074